No. 1
10
Lattice="6.8685 0.0000 0.0000 0.0000 6.8685 0.0000 0.0000 0.0000 4.7488" Properties=species:S:1:pos:R:3 comment="PBE-GGA La2Rh2W, optimized geometry" ef_ev_per_atom=-0.160 spacegroup="P4/mbm (127)" dft_energy_ev_per_atom=-7.66 pbc="T T T"
La 1.1949 2.2393 0.0000
La 2.2393 5.6736 0.0000
La 4.6292 1.1949 0.0000
La 5.6736 4.6292 0.0000
Rh 1.0169 4.4512 2.3744
Rh 2.4173 1.0169 2.3744
Rh 4.4512 5.8516 2.3744
Rh 5.8516 2.4173 2.3744
W 0.0000 0.0000 2.3744
W 3.4343 3.4343 2.3744

***

No. 2
4
Lattice="5.0082 0.0000 0.0000 0.0000 1.8230 4.9463 0.0000 -1.8230 4.9463" Properties=species:S:1:pos:R:3 comment="PBE-GGA Zr2TeP, optimized geometry" spacegroup="Amm2 (38)" raw_formation_energy_ev_per_atom=-0.779 dft_energy_ev_per_atom=-7.19 pbc="T T T"
Zr 0.0000 0.0000 0.0000
Zr 2.5041 0.0000 2.9521
Te 0.0000 0.0000 7.1138
P 2.5041 0.0000 0.0115

***

No. 3
5
Lattice="4.0406 0.0000 0.0000 0.0000 4.0406 0.0000 0.0000 0.0000 4.5222" Properties=species:S:1:pos:R:3 comment="PBE-GGA NaAgO2F, optimized geometry" spacegroup="P4/mmm (123)" raw_formation_energy_ev_per_atom=-0.571 dft_energy_ev_per_atom=-3.76 pbc="T T T"
Na 0.0000 0.0000 0.0000
Ag 2.0203 2.0203 2.2611
O 0.0000 2.0203 2.2611
O 2.0203 0.0000 2.2611
F 2.0203 2.0203 0.0000

***

No. 4
14
Lattice="-4.4222 4.4222 4.3545 4.4222 -4.4222 4.3545 4.4222 4.4222 -4.3545" Properties=species:S:1:pos:R:3 comment="PBE-GGA Na2PaSe4, optimized geometry" spacegroup="I-42d (122)" raw_formation_energy_ev_per_atom=-1.084 dft_energy_ev_per_atom=-4.81 pbc="T T T"
Na 0.9752 2.2111 1.0886
Na -2.2111 3.4470 3.2659
Na -0.9752 6.6333 1.0886
Na 2.2111 5.3974 3.2659
Pa 4.4222 0.0000 2.1773
Pa 0.0000 0.0000 4.3545
Se 3.9371 1.6085 -0.3049
Se 1.6085 -0.4851 1.8723
Se 2.8137 4.9073 -2.4822
Se 2.8137 -0.4851 4.6595
Se 1.6085 4.9073 0.3049
Se 3.9371 2.8137 2.4822
Se 0.4851 2.8137 4.0496
Se 0.4851 1.6085 6.8367

***

No. 5
8
Lattice="-3.0118 3.0118 3.6107 3.0118 -3.0118 3.6107 3.0118 3.0118 -3.6107" Properties=species:S:1:pos:R:3 comment="PBE-GGA Sc2HCl, optimized geometry" spacegroup="I-42d (122)" dft_energy_ev_per_atom=-5.08 pbc="T T T"
Sc 4.5177 1.0567 -0.9027
Sc 1.0567 1.5059 0.9027
Sc -1.5059 1.9551 2.7080
Sc 1.9551 1.5059 4.5133
H 0.0000 0.0000 0.0000
H 0.0000 3.0118 1.8053
Cl 3.0118 0.0000 1.8053
Cl 0.0000 0.0000 3.6107

***

No. 6
4
Lattice="0.0000 3.4310 3.4310 3.4310 0.0000 3.4310 3.4310 3.4310 0.0000" Properties=species:S:1:pos:R:3 comment="PBE-GGA HfTaHg2, optimized geometry" ef_ev_per_atom=0.349 spacegroup="Fm-3m (225)" dft_energy_ev_per_atom=-5.25 pbc="T T T"
Hf 0.0000 0.0000 0.0000
Ta 3.4310 3.4310 3.4310
Hg 1.7155 1.7155 1.7155
Hg 5.1464 5.1464 5.1464